Record 1
## ZrSb4Os2 (GGA-PBE)

Data for an optimized crystal structure of ZrSb4Os2.

POSCAR file:
```
ZrSb4Os2
1.0
-5.239 -0.633 -1.062
0.587 -5.343 0.285
-3.664 -2.789 6.096
Sb Os Zr
4 2 1
Direct
0.500 0.000 0.000
0.782 0.782 0.436
0.000 0.500 0.000
0.218 0.218 0.564
0.406 0.406 0.189
0.594 0.594 0.811
0.000 0.000 0.000
```

Results
- spin magnetization (μB/f.u.) = 0.000
- uncorrected formation energy (eV per atom) = 0.835
- VASP energy (eV per atom) = -5.95
- SG = No. 139

---

Record 2
## Zr2SbOs (GGA-PBE)

Data for an optimized crystal structure of Zr2SbOs.

POSCAR file:
```
Zr2SbOs
1.0
5.140 0.001 0.000
1.398 4.946 0.000
-3.269 -2.473 3.100
Zr Sb Os
2 1 1
Direct
0.500 0.500 0.000
0.000 0.000 0.000
0.750 0.250 0.500
0.250 0.750 0.500
```

Results
- spin magnetization (μB/f.u.) = 0.000
- uncorrected formation energy (eV per atom) = -0.284
- VASP energy (eV per atom) = -8.40
- SG = No. 139

---

Record 3
## Zr2SbOs2 (GGA-PBE)

Data for an optimized crystal structure of Zr2SbOs2.

POSCAR file:
```
Zr2SbOs2
1.0
-6.972 1.884 -3.409
-3.680 -0.901 7.030
0.501 3.032 0.651
Zr Os Sb
4 4 2
Direct
0.853 0.647 0.000
0.647 0.147 0.000
0.147 0.353 0.000
0.353 0.853 0.000
0.141 0.641 0.500
0.359 0.141 0.500
0.859 0.359 0.500
0.641 0.859 0.500
0.500 0.500 0.000
0.000 0.000 0.000
```

Results
- spin magnetization (μB/f.u.) = 0.000
- uncorrected formation energy (eV per atom) = 0.113
- VASP energy (eV per atom) = -8.62
- SG = No. 127

---

Copy entry 3 word for word.
## Zr2SbOs2 (GGA-PBE)

Data for an optimized crystal structure of Zr2SbOs2.

POSCAR file:
```
Zr2SbOs2
1.0
-6.972 1.884 -3.409
-3.680 -0.901 7.030
0.501 3.032 0.651
Zr Os Sb
4 4 2
Direct
0.853 0.647 0.000
0.647 0.147 0.000
0.147 0.353 0.000
0.353 0.853 0.000
0.141 0.641 0.500
0.359 0.141 0.500
0.859 0.359 0.500
0.641 0.859 0.500
0.500 0.500 0.000
0.000 0.000 0.000
```

Results
- spin magnetization (μB/f.u.) = 0.000
- uncorrected formation energy (eV per atom) = 0.113
- VASP energy (eV per atom) = -8.62
- SG = No. 127

---

> Which value of uncorrected formation energy does entry 1 give?

0.835 eV per atom